No. 1
PrMn2Ge2: single point on PBEsol structure, SCAN.

Output
Size of the total moment in μB per cell: 9.1
DFT total energy in eV for the cell shown: -242.11
E_form in eV/f.u.: -3.04

Cell lengths 3.9640, 3.9640, 10.8208 Å; angles 90.00, 90.00, 90.00 degrees
Last column: nearest neighbours and their distance in Å.
Element x y z (fractional)
Pr1 0.0000 0.0000 0.0000  8 Ge 3.11, 8 Mn 3.35
Pr2 0.5000 0.5000 0.5000  8 Ge 3.11, 8 Mn 3.35
Mn1 0.0000 0.5000 0.2500  4 Ge 2.40
Mn2 0.0000 0.5000 0.7500  4 Ge 2.40
Mn3 0.5000 0.0000 0.2500  4 Ge 2.40
Mn4 0.5000 0.0000 0.7500  4 Ge 2.40
Ge1 0.0000 0.0000 0.3755  4 Mn 2.40
Ge2 0.0000 0.0000 0.6245  4 Mn 2.40
Ge3 0.5000 0.5000 0.1245  4 Mn 2.40
Ge4 0.5000 0.5000 0.8755  4 Mn 2.40


No. 2
Sb3Pb5: single point on PBEsol structure, SCAN.

Output
Energy relative to the lowest polymorph listed for this composition in eV per formula unit: 0.00
Formation energy (no corrections) in eV per atom: 0.051
Size of the total moment in μB per cell: 0.0
DFT total energy in eV for the cell shown: -980.57

Cell lengths 9.4167, 9.4167, 6.6156 Å; angles 90.00, 90.00, 120.00 degrees
Last column: nearest neighbours and their distance in Å.
Element x y z (fractional)
Sb1 0.0000 0.3657 0.2500  9 Pb 3.11-3.42
Sb2 0.0000 0.6343 0.7500  9 Pb 3.11-3.42
Sb3 0.3657 0.0000 0.2500  9 Pb 3.11-3.42
Sb4 0.3657 0.3657 0.7500  9 Pb 3.11-3.42
Sb5 0.6343 0.0000 0.7500  9 Pb 3.11-3.42
Sb6 0.6343 0.6343 0.2500  9 Pb 3.11-3.42
Pb1 0.0000 0.3036 0.7500  5 Sb 3.11-3.36
Pb2 0.0000 0.6964 0.2500  5 Sb 3.11-3.36
Pb3 0.3036 0.0000 0.7500  5 Sb 3.11-3.36
Pb4 0.3036 0.3036 0.2500  5 Sb 3.11-3.36
Pb5 0.3333 0.6667 0.0000  8 Pb 3.31-3.68, 6 Sb 3.42
Pb6 0.3333 0.6667 0.5000  8 Pb 3.31-3.68, 6 Sb 3.42
Pb7 0.6667 0.3333 0.0000  8 Pb 3.31-3.68, 6 Sb 3.42
Pb8 0.6667 0.3333 0.5000  8 Pb 3.31-3.68, 6 Sb 3.42
Pb9 0.6964 0.0000 0.2500  5 Sb 3.11-3.36
Pb10 0.6964 0.6964 0.7500  5 Sb 3.11-3.36


What did the second record say?
Sb3Pb5: single point on PBEsol structure, SCAN.

Output
Energy relative to the lowest polymorph listed for this composition in eV per formula unit: 0.00
Formation energy (no corrections) in eV per atom: 0.051
Size of the total moment in μB per cell: 0.0
DFT total energy in eV for the cell shown: -980.57

Cell lengths 9.4167, 9.4167, 6.6156 Å; angles 90.00, 90.00, 120.00 degrees
Last column: nearest neighbours and their distance in Å.
Element x y z (fractional)
Sb1 0.0000 0.3657 0.2500  9 Pb 3.11-3.42
Sb2 0.0000 0.6343 0.7500  9 Pb 3.11-3.42
Sb3 0.3657 0.0000 0.2500  9 Pb 3.11-3.42
Sb4 0.3657 0.3657 0.7500  9 Pb 3.11-3.42
Sb5 0.6343 0.0000 0.7500  9 Pb 3.11-3.42
Sb6 0.6343 0.6343 0.2500  9 Pb 3.11-3.42
Pb1 0.0000 0.3036 0.7500  5 Sb 3.11-3.36
Pb2 0.0000 0.6964 0.2500  5 Sb 3.11-3.36
Pb3 0.3036 0.0000 0.7500  5 Sb 3.11-3.36
Pb4 0.3036 0.3036 0.2500  5 Sb 3.11-3.36
Pb5 0.3333 0.6667 0.0000  8 Pb 3.31-3.68, 6 Sb 3.42
Pb6 0.3333 0.6667 0.5000  8 Pb 3.31-3.68, 6 Sb 3.42
Pb7 0.6667 0.3333 0.0000  8 Pb 3.31-3.68, 6 Sb 3.42
Pb8 0.6667 0.3333 0.5000  8 Pb 3.31-3.68, 6 Sb 3.42
Pb9 0.6964 0.0000 0.2500  5 Sb 3.11-3.36
Pb10 0.6964 0.6964 0.7500  5 Sb 3.11-3.36